Computed, not measured: Ac5GaPb3 after structural relaxation at the PBE-GGA level of DFT.

```
18
Lattice="-3.5008 -6.2877 1.4343 6.8787 -2.1840 7.2150 -8.4238 5.2374 2.3995" Properties=species:S:1:pos:R:3 pbc="T T T"
Pb -4.1319 0.4529 1.2863
Pb -3.2229 -3.5353 4.7927
Pb 1.5935 -6.0553 5.5010
Pb -0.9139 -3.6872 9.7625
Pb 1.7845 -2.4164 3.1482
Pb -1.8229 0.3010 6.2560
Ac -5.0732 -0.3803 4.7217
Ac -1.2738 -0.7840 2.8400
Ac -7.1249 2.3138 2.1390
Ac -3.3229 2.7635 4.0045
Ac 2.0790 -5.5481 8.9098
Ac -3.7720 -2.4503 8.2088
Ac 1.7778 0.2899 5.6099
Ac 4.2282 -3.1923 5.7115
Ac -0.8503 -5.2794 2.9378
Ac 0.0274 -2.8540 6.3271
Ga -1.7504 -3.1438 0.7171
Ga 0.0000 0.0000 0.0000
```

## Properties
For the total energy, the calculation gives -4.35 eV/atom. The mass density comes out at 9.2 Mg/m³. As for the density of states at the Fermi level: 23.19 states/eV per cell. As for the space group: No. 193.

---

Computed, not measured: RbCu2Br4 after structural relaxation at the PBE-GGA level of DFT.

```
14
Lattice="-4.5707 -0.4185 7.5243 1.2536 -4.3059 5.6842 3.4534 6.6210 7.7229" Properties=species:S:1:pos:R:3 pbc="T T T"
Br -1.3516 0.1720 8.5945
Br 0.2773 0.6723 3.7519
Br 1.3107 1.3580 14.7881
Br -0.2242 4.1762 12.1302
Br 2.3217 1.8000 10.9658
Br -1.0925 -2.4128 11.1912
Br 2.6033 3.2882 7.9399
Br 1.2715 -1.0493 6.8391
Cu -0.5373 0.4221 6.1732
Cu -0.4691 1.3699 16.6391
Cu 0.0895 -1.7308 9.0153
Cu 1.1895 3.7320 10.0350
Rb 1.2455 -4.2987 5.6844
Rb -1.0664 0.8363 12.3467
```

## Properties
Its raw formation energy is -0.680 eV/atom. For the total energy, the calculation gives -2.94 eV/atom. The mass density comes out at 3.6 Mg/m³. As for the density of states at the Fermi level: 8.58 states/eV per cell. As for the space group: No. 2.

---

Computed, not measured: SmTh2In3Hg6 after structural relaxation at the PBE-GGA level of DFT.

```
12
Lattice="4.4509 0.0000 0.0000 0.0000 4.4509 0.0000 0.0000 0.0000 16.0488" Properties=species:S:1:pos:R:3 pbc="T T T"
Th 2.2254 2.2254 14.1358
Th 2.2254 2.2254 1.9130
Hg 0.0000 2.2254 11.2824
Hg 2.2254 0.0000 4.7664
Hg 2.2254 0.0000 11.2824
Hg 0.0000 2.2254 4.7664
Hg 0.0000 0.0000 13.2501
Hg 0.0000 0.0000 2.7986
Sm 2.2254 2.2254 8.0244
In 0.0000 0.0000 6.6556
In 0.0000 0.0000 9.3931
In 0.0000 0.0000 0.0000
```

## Properties
For the total energy, the calculation gives -2.56 eV/atom. The mass density comes out at 11.3 Mg/m³. As for the density of states at the Fermi level: 7.90 states/eV per cell. As for the space group: No. 123.

---

Computed, not measured: GaPS2O after structural relaxation at the PBE-GGA level of DFT.

```
5
Lattice="4.2588 0.0000 0.0000 0.0000 4.2588 0.0000 0.0000 0.0000 4.2970" Properties=species:S:1:pos:R:3 pbc="T T T"
S 0.0000 2.1294 0.0000
S 2.1294 0.0000 0.0000
P 0.0000 0.0000 2.1485
Ga 2.1294 2.1294 2.1485
O 0.0000 0.0000 0.0000
```

## Properties
Its raw formation energy is 0.654 eV/atom. For the total energy, the calculation gives -3.68 eV/atom. The mass density comes out at 3.9 Mg/m³. As for the density of states at the Fermi level: 3.98 states/eV per cell. As for the space group: No. 123.

---

Computed, not measured: LiAc3Pb3 after structural relaxation at the PBE-GGA level of DFT.

```
14
Lattice="4.9254 0.0000 0.7419 2.4237 6.2614 0.6303 0.1800 0.1404 15.5247" Properties=species:S:1:pos:R:3 pbc="T T T"
Ac 3.5064 2.0923 10.1626
Ac 4.7090 4.6262 2.1787
Ac 4.0228 4.3095 6.7343
Ac 2.8201 1.7756 14.7182
Ac 1.9329 1.7410 3.8881
Ac 5.5962 4.6608 13.0088
Li 3.9982 0.5531 6.8976
Li 3.5310 5.8487 9.9993
Pb 0.7199 1.0715 11.9407
Pb 1.4176 1.7457 7.3090
Pb 6.8092 5.3303 4.9562
Pb 2.7825 5.2066 14.9677
Pb 6.1116 4.6561 9.5879
Pb 4.7466 1.1952 1.9292
```

## Properties
For the total energy, the calculation gives -4.14 eV/atom. The mass density comes out at 9.1 Mg/m³. As for the density of states at the Fermi level: 10.58 states/eV per cell. As for the space group: No. 12.

---

Computed, not measured: PmTmSb after structural relaxation at the PBE-GGA level of DFT.

```
3
Lattice="4.0694 0.0000 0.0000 0.0000 5.0655 0.0000 0.0000 -2.5327 4.3868" Properties=species:S:1:pos:R:3 pbc="T T T"
Sb 1.6300 2.5327 1.4623
Pm 0.1547 0.0000 0.0000
Tm 2.2847 0.0000 2.9245
```

## Properties
Its raw formation energy is -0.446 eV/atom. For the total energy, the calculation gives -4.89 eV/atom. The mass density comes out at 8.0 Mg/m³. As for the density of states at the Fermi level: 3.06 states/eV per cell. As for the space group: No. 156.

---

Computed, not measured: KSrRuPb2 after structural relaxation at the PBE-GGA level of DFT.

```
5
Lattice="-5.6120 -0.5750 1.3192 1.3232 -4.2784 3.7641 0.5948 3.9093 4.2343" Properties=species:S:1:pos:R:3 pbc="T T T"
Ru -1.8470 -0.4721 4.6588
Pb -2.8060 -0.2875 0.6596
Pb 0.2974 1.9546 2.1172
K 0.0000 0.0000 0.0000
Sr 0.6616 -2.1392 1.8820
```

## Properties
For the total energy, the calculation gives -2.34 eV/atom. The mass density comes out at 5.4 Mg/m³. As for the density of states at the Fermi level: 2.98 states/eV per cell. As for the space group: No. 123.

---

Computed, not measured: Pm3Sc7Pt4 after structural relaxation at the PBE-GGA level of DFT.

```
14
Lattice="-1.0276 -1.1772 4.3330 7.5835 0.2810 4.3231 0.3059 7.6473 4.5985" Properties=species:S:1:pos:R:3 pbc="T T T"
Pt 5.8018 1.8187 9.2149
Pt 1.0599 4.9323 4.0397
Pt 4.1037 5.6823 7.4136
Pt 2.7580 1.0688 5.8410
Pm 3.9447 3.9641 4.4608
Pm 5.6997 5.6353 10.2276
Pm 1.1620 1.1157 3.0270
Sc 0.5296 2.7700 5.7747
Sc 0.0000 0.0000 0.0000
Sc 4.3478 0.5644 3.6328
Sc 1.4508 5.5283 6.7426
Sc 6.3322 3.9810 7.4799
Sc 2.5139 6.1866 9.6218
Sc 5.4109 1.2227 6.5120
```

## Properties
For the total energy, the calculation gives -6.68 eV/atom. The mass density comes out at 7.9 Mg/m³. As for the density of states at the Fermi level: 18.75 states/eV per cell. As for the space group: No. 12.

---

Computed, not measured: Zn8Ni6Ge after structural relaxation at the PBE-GGA level of DFT.

```
15
Lattice="5.8546 -0.0206 2.5631 1.6679 5.6120 2.5631 -0.0277 -0.0206 6.3910" Properties=species:S:1:pos:R:3 pbc="T T T"
Ge 0.0000 0.0000 0.0000
Zn 5.3356 2.6107 3.9514
Zn 4.5764 4.9332 5.0384
Zn 2.4853 1.8473 3.8190
Zn 1.9775 4.3565 5.2923
Zn 2.1593 2.9601 7.5657
Zn 2.9185 0.6377 6.4787
Zn 5.0096 3.7236 7.6981
Zn 5.5174 1.2144 6.2249
Ni 4.1322 1.5524 8.4321
Ni 3.3627 4.0185 3.0851
Ni 4.2684 0.2386 4.3240
Ni 6.6251 3.5093 5.8632
Ni 0.8697 2.0616 5.6539
Ni 3.2264 5.3323 7.1932
```

## Properties
For the total energy, the calculation gives -3.46 eV/atom. The mass density comes out at 7.5 Mg/m³. As for the density of states at the Fermi level: 7.90 states/eV per cell. As for the space group: No. 148.

---

Computed, not measured: ZrNiCl2 after structural relaxation at the PBE-GGA level of DFT.

```
4
Lattice="6.6476 0.9451 -0.0722 3.5218 5.7167 0.0722 -4.4408 -4.3139 2.5998" Properties=species:S:1:pos:R:3 pbc="T T T"
Zr 3.6387 -0.0236 1.2638
Cl 9.4138 6.1668 0.0000
Cl 1.9367 2.2711 1.3360
Ni 5.9936 3.9263 0.0000
```

## Properties
Its raw formation energy is -0.456 eV/atom. For the total energy, the calculation gives -4.96 eV/atom. The mass density comes out at 4.0 Mg/m³. As for the density of states at the Fermi level: 2.69 states/eV per cell. As for the space group: No. 44.

---

Question: Which value of mass density does entry 10 give?
Answer: 4.0 Mg/m³